Entry 1:
LiTcAgBr6 | PBE-GGA | relaxed

Structure (POSCAR):
```
LiTcAgBr6
1.0
-1.484 0.031 -6.570
2.478 -5.569 2.867
-11.544 -3.804 2.589
Li Tc Ag Br
2 2 2 12
direct
0.333 0.667 0.250
0.667 0.333 0.750
0.667 0.333 0.250
0.333 0.667 0.750
0.000 0.000 0.000
0.000 0.000 0.500
0.654 0.635 0.132
0.981 0.346 0.132
0.346 0.981 0.632
0.019 0.654 0.868
0.365 0.346 0.368
0.981 0.635 0.368
0.635 0.981 0.868
0.654 0.019 0.368
0.019 0.365 0.632
0.365 0.019 0.132
0.635 0.654 0.632
0.346 0.365 0.868
```

Entry 2:
KPuS2 | PBE-GGA | relaxed

Structure (POSCAR):
```
KPuS2
1.0
4.088 0.000 0.000
2.044 3.541 0.000
2.044 1.180 7.472
K Pu S
1 1 2
direct
0.498 0.498 0.507
0.668 0.668 0.997
0.067 0.067 0.800
0.268 0.268 0.196
```

Entry 3:
CsPr2CuTe4 | PBE-GGA | relaxed

Structure (POSCAR):
```
CsPr2CuTe4
1.0
4.548 0.000 0.000
-2.274 8.029 0.000
0.000 0.000 15.844
Cs Pr Cu Te
2 4 2 8
direct
0.106 0.213 0.750
0.894 0.787 0.250
0.365 0.730 0.562
0.635 0.270 0.062
0.635 0.270 0.438
0.365 0.730 0.938
0.837 0.673 0.750
0.163 0.327 0.250
0.262 0.523 0.114
0.738 0.477 0.614
0.738 0.477 0.886
0.262 0.523 0.386
0.000 0.000 0.500
0.000 0.000 0.000
0.425 0.849 0.750
0.575 0.151 0.250
```

Entry 4:
SrMg2HgPt | PBE-GGA | relaxed

Structure (POSCAR):
```
SrMg2HgPt
1.0
5.089 0.000 0.000
0.000 5.089 0.000
0.000 0.000 5.778
Sr Mg Hg Pt
1 2 1 1
direct
0.000 0.000 0.500
0.000 0.500 0.000
0.500 0.000 0.000
0.500 0.500 0.500
0.000 0.000 0.000
```

## Properties
formation energy from the elements = -427 meV/atom

Entry 5:
BaNbH | PBE-GGA | relaxed

Structure (POSCAR):
```
BaNbH
1.0
3.297 -1.903 0.000
0.000 3.807 0.000
0.000 0.000 13.573
H Nb Ba
2 2 2
direct
0.333 0.667 0.250
0.667 0.333 0.750
0.000 0.000 0.000
0.000 0.000 0.500
0.000 0.000 0.250
0.000 0.000 0.750
```

## Properties
energy relative to the lowest polymorph listed for this composition = 3.70 eV per formula unit

Entry 6:
Pa3Tc2Os | PBE-GGA | relaxed

Structure (POSCAR):
```
Pa3Tc2Os
1.0
-0.520 0.399 3.168
-3.767 -3.572 -0.168
9.830 -10.505 2.937
Pa Tc Os
6 4 2
direct
0.357 0.500 0.666
0.390 0.000 0.500
0.357 0.500 0.334
0.643 0.000 0.166
0.610 0.500 0.000
0.643 0.000 0.834
0.058 0.000 0.662
0.058 0.000 0.338
0.942 0.500 0.162
0.942 0.500 0.838
0.791 0.500 0.500
0.209 0.000 0.000
```

## Properties
formation energy from the elements = -165 meV/atom

Entry 7:
CsDy6S8 | PBE-GGA | relaxed

Structure (POSCAR):
```
CsDy6S8
1.0
-1.327 -7.493 1.662
0.247 -1.411 -7.656
7.705 -0.871 0.733
Cs Dy S
1 6 8
direct
0.000 0.000 0.000
0.616 0.428 0.804
0.428 0.804 0.616
0.804 0.616 0.428
0.384 0.572 0.196
0.572 0.196 0.384
0.196 0.384 0.572
0.740 0.740 0.740
0.260 0.260 0.260
0.589 0.857 0.307
0.857 0.307 0.589
0.307 0.589 0.857
0.411 0.143 0.693
0.143 0.693 0.411
0.693 0.411 0.143
```

Entry 8:
Pr5Sm8Tm | PBE-GGA | relaxed

Structure (POSCAR):
```
Pr5Sm8Tm
1.0
-8.382 -0.163 -2.404
3.571 -7.439 2.874
-0.802 6.204 6.079
Pr Sm Tm
5 8 1
direct
0.129 0.247 0.153
0.736 0.910 0.209
0.853 0.654 0.837
0.446 0.879 0.469
0.326 0.126 0.835
0.251 0.631 0.000
0.926 0.166 0.678
0.524 0.166 0.276
0.819 0.390 0.072
0.666 0.631 0.416
0.580 0.885 0.833
0.354 0.390 0.607
0.087 0.885 0.340
0.052 0.540 0.523
```

## Properties
formation energy from the elements = 157 meV/atom

Entry 9:
RbLi2Mg | PBE-GGA | relaxed

Structure (POSCAR):
```
RbLi2Mg
1.0
-2.499 0.921 2.504
-0.245 -1.890 3.119
6.768 6.935 6.875
Mg Rb Li
1 1 2
direct
0.500 0.500 0.500
0.000 0.000 0.000
0.102 0.102 0.694
0.898 0.898 0.306
```

## Properties
formation energy from the elements = 276 meV/atom

Entry 10:
CaFe2Ag | PBE-GGA | relaxed

Structure (POSCAR):
```
CaFe2Ag
1.0
-0.012 -1.943 -2.929
-2.902 -1.647 1.104
-3.551 4.336 -2.863
Ca Fe Ag
1 2 1
direct
0.500 0.500 0.750
0.000 0.000 0.072
0.000 0.000 0.428
0.500 0.500 0.250
```

## Properties
formation energy from the elements = 545 meV/atom

Entry 11:
RbCd2HSe | PBE-GGA | relaxed

Structure (POSCAR):
```
RbCd2HSe
1.0
-0.614 -4.617 -0.184
5.280 -0.671 -0.774
0.642 -0.269 4.609
H Se Rb Cd
1 1 1 2
direct
0.000 0.000 0.000
0.500 0.500 0.500
0.000 0.500 0.000
0.000 0.000 0.500
0.500 0.000 0.000
```

Entry 12:
TlGe3Cl | PBE-GGA | relaxed

Structure (POSCAR):
```
TlGe3Cl
1.0
5.098 0.000 0.000
0.000 5.098 0.000
0.000 0.000 5.098
Tl Ge Cl
1 3 1
direct
0.500 0.500 0.500
0.000 0.500 0.000
0.000 0.000 0.500
0.500 0.000 0.000
0.000 0.000 0.000
```

## Properties
energy relative to the lowest polymorph listed for this composition = 0.00 eV per formula unit

The records above yield M_tot values of 5.99, 5.00, 0.00, 0.00, 6.58, 0.00, 0.04, 0.00, 0.00, 5.65, 0.00, 0.00 μB per cell, respectively.
The records above yield uncorrected energy values of -61.30, -29.99, -73.00, -13.35, -22.78, -122.88, -88.95, -63.93, -5.29, -19.60, -9.82, -14.97 eV per cell, respectively.